[1]
{
  "formula": "Ho2ErTm5Sc",
  "functional": "PBE-GGA",
  "state": "relaxed",
  "cell": [[2.730, -9.812, 0.000], [2.730, 9.812, 0.000], [0.000, 0.000, 10.238]],
  "species": ["Ho", "Ho", "Ho", "Ho", "Er", "Er", "Tm", "Tm", "Tm", "Tm", "Tm", "Tm", "Tm", "Tm", "Tm", "Tm", "Sc", "Sc"],
  "fractional_positions": [[0.111, 0.889, 0.500], [0.114, 0.886, 0.922], [0.886, 0.114, 0.422], [0.889, 0.111, 0.000], [0.410, 0.590, 0.642], [0.590, 0.410, 0.142], [0.018, 0.982, 0.205], [0.276, 0.724, 0.505], [0.300, 0.700, 0.891], [0.379, 0.621, 0.207], [0.481, 0.519, 0.925], [0.519, 0.481, 0.425], [0.621, 0.379, 0.707], [0.700, 0.300, 0.391], [0.724, 0.276, 0.005], [0.982, 0.018, 0.705], [0.196, 0.804, 0.201], [0.804, 0.196, 0.701]],
  "magnetic_moment_mub_per_cell": 0.0,
  "volume_a3_per_cell": 548,
  "density_g_cm3": 8.40,
  "final_energy_ev_per_atom": -4.543
}


[2]
{
  "formula": "TlAsP2Pb",
  "functional": "PBE-GGA",
  "state": "relaxed",
  "cell": [[5.296, 0.000, 0.000], [0.000, 5.296, 0.000], [0.000, 0.000, 5.477]],
  "species": ["Tl", "As", "P", "P", "Pb"],
  "fractional_positions": [[0.000, 0.000, 0.000], [0.500, 0.500, 0.000], [0.000, 0.500, 0.500], [0.500, 0.000, 0.500], [0.500, 0.500, 0.500]],
  "magnetic_moment_mub_per_cell": 0.0,
  "volume_a3_per_cell": 154,
  "density_g_cm3": 5.93,
  "final_energy_ev_per_atom": -3.279
}


[3]
{
  "formula": "Hf2SBr",
  "functional": "PBE-GGA",
  "state": "relaxed",
  "cell": [[-2.307, 2.307, 8.408], [2.307, -2.307, 8.408], [2.307, 2.307, -8.408]],
  "species": ["Hf", "Hf", "Hf", "Hf", "S", "S", "Br", "Br"],
  "fractional_positions": [[0.103, 0.625, 0.978], [0.375, 0.353, 0.478], [0.647, 0.125, 0.022], [0.875, 0.897, 0.522], [0.000, 0.000, 0.000], [0.750, 0.250, 0.500], [0.250, 0.750, 0.500], [0.500, 0.500, 0.000]],
  "relative_energy_kcal_per_mol_atoms": 1.06,
  "formation_energy_uncorrected_ev_per_atom": -0.37,
  "magnetic_moment_mub_per_cell": 0.4,
  "volume_a3_per_cell": 179,
  "density_g_cm3": 8.70
}